Record 1
! PBE Tl2SnF7, optimized geometry; values from VASP
! **Formation energy (no corrections)**: -2.0733 eV/atom
! **D(E_F)**: 0.58 states/eV per atom
! **Total energy**: -85.1 eV/cell
! **M_tot**: 0.0 μB/cell
! **Space group**: No. 15
&SYSTEM
  ibrav = 0, nat = 20, ntyp = 3
/
ATOMIC_SPECIES
Tl 204.38 Tl.upf
Sn 118.71 Sn.upf
F 19.00 F.upf
CELL_PARAMETERS angstrom
6.773 -3.445 0.000
6.773 3.445 0.000
-6.139 0.000 7.285
ATOMIC_POSITIONS crystal
Tl 0.118 0.258 0.282
Tl 0.258 0.118 0.782
Tl 0.742 0.882 0.218
Tl 0.882 0.742 0.718
Sn 0.386 0.614 0.250
Sn 0.614 0.386 0.750
F 0.071 0.929 0.250
F 0.148 0.534 0.223
F 0.245 0.506 0.627
F 0.255 0.561 0.980
F 0.439 0.745 0.520
F 0.466 0.852 0.277
F 0.494 0.755 0.873
F 0.506 0.245 0.127
F 0.534 0.148 0.723
F 0.561 0.255 0.480
F 0.745 0.439 0.020
F 0.755 0.494 0.373
F 0.852 0.466 0.777
F 0.929 0.071 0.750


Record 2
! PBE Tl2SnF4, optimized geometry; values from VASP
! **Formation energy (no corrections)**: -1.9316 eV/atom
! **D(E_F)**: 0.00 states/eV per atom
! **Total energy**: -29.7 eV/cell
! **Energy relative to the lowest polymorph listed for this composition**: 0.050 eV per atom
! **M_tot**: 0.0 μB/cell
! **Space group**: No. 12
&SYSTEM
  ibrav = 0, nat = 7, ntyp = 3
/
ATOMIC_SPECIES
Tl 204.38 Tl.upf
Sn 118.71 Sn.upf
F 19.00 F.upf
CELL_PARAMETERS angstrom
6.525 -1.896 0.000
6.525 1.896 0.000
-3.620 0.000 6.274
ATOMIC_POSITIONS crystal
Tl 0.180 0.180 0.168
Tl 0.820 0.820 0.832
Sn 0.500 0.500 0.500
F 0.124 0.124 0.518
F 0.379 0.379 0.122
F 0.621 0.621 0.878
F 0.876 0.876 0.482


Record 3
! PBE Tl2SnF4, optimized geometry; values from VASP
! **Formation energy (no corrections)**: -1.9327 eV/atom
! **D(E_F)**: 0.00 states/eV per atom
! **Total energy**: -29.7 eV/cell
! **Energy relative to the lowest polymorph listed for this composition**: 0.048 eV per atom
! **M_tot**: 0.0 μB/cell
! **Space group**: No. 139
&SYSTEM
  ibrav = 0, nat = 7, ntyp = 3
/
ATOMIC_SPECIES
Tl 204.38 Tl.upf
Sn 118.71 Sn.upf
F 19.00 F.upf
CELL_PARAMETERS angstrom
-2.373 2.373 6.984
2.373 -2.373 6.984
2.373 2.373 -6.984
ATOMIC_POSITIONS crystal
Tl 0.149 0.149 0.000
Tl 0.851 0.851 0.000
Sn 0.500 0.500 0.000
F 0.000 0.500 0.500
F 0.330 0.330 0.000
F 0.500 0.000 0.500
F 0.670 0.670 0.000